BaRuPb2O after structural relaxation. Source: the Alexandria database, functional PBE.

Calculated values
spin magnetization	0.0	μB per formula unit
D(E_F)	0.826	states/eV per atom
crystal system	tetragonal
space-group type	P4/mmm, No. 123
E_tot	-2.863	eV per atom

Unit cell a=6.4090 b=4.9655 c=6.4090 alpha=90.00 beta=90.00 gamma=90.00
With the nearest neighbours (Å) after each atom.
Sites, in units of the cell vectors:
Pb 0.0000 0.0000 0.5000  2 Ba 3.20
Pb 0.5000 0.0000 0.0000  2 Ba 3.20
Ru 0.0000 0.5000 0.0000  2 Ba 2.48
Ba 0.0000 0.0000 0.0000  2 Ru 2.48
O 0.5000 0.5000 0.5000  8 Pb 4.05, 4 Ru 4.53

=====

BaRuPbO6 after structural relaxation. Source: the Alexandria database, functional PBE.

Calculated values
spin magnetization	1.6	μB per formula unit
D(E_F)	0.641	states/eV per atom
crystal system	trigonal
space-group type	P312, No. 149
E_tot	-6.252	eV per atom

Unit cell a=5.5972 b=5.5972 c=5.6519 alpha=90.00 beta=90.00 gamma=60.00
With the nearest neighbours (Å) after each atom.
Sites, in units of the cell vectors:
Ba 0.0000 0.0000 0.0000  6 O 2.74
Ru 0.3333 0.3333 0.5000  6 O 1.94
Pb 0.6666 0.6667 0.5000  6 O 2.22
O 0.0374 0.3648 0.2999  1 Ru 1.94
O 0.3647 0.0374 0.7001  1 Ru 1.94
O 0.5977 0.3648 0.7001  1 Ru 1.94
O 0.0374 0.5978 0.7001  1 Ru 1.94
O 0.3648 0.5978 0.2999  1 Ru 1.94
O 0.5978 0.0374 0.2999  1 Ru 1.94

=====

BaPbSO after structural relaxation. Source: the Alexandria database, functional PBE.

Calculated values
spin magnetization	0.0	μB per formula unit
D(E_F)	0.000	states/eV per atom
crystal system	hexagonal
space-group type	P6_3mc, No. 186
E_tot	-5.176	eV per atom

Unit cell a=4.4088 b=4.4088 c=13.6337 alpha=90.00 beta=90.00 gamma=120.00
With the nearest neighbours (Å) after each atom.
Sites, in units of the cell vectors:
Ba 0.3333 0.6667 0.9172  3 O 2.71
Ba 0.6667 0.3333 0.4172  3 O 2.71
Pb 0.0000 0.0000 0.1540  1 O 2.30
Pb 0.0000 0.0000 0.6540  1 O 2.30
S 0.6667 0.3333 0.7561  3 Pb 2.90
S 0.3333 0.6667 0.2561  3 Pb 2.90
O 0.0000 0.0000 0.4850  1 Pb 2.30
O 0.0000 0.0000 0.9850  1 Pb 2.30